Li2ZnHPd | GGA-PBE | relaxed

Final energy = -0.111 hartree per atom
N(E_F) = 1.236 states/eV/cell

a b c (Å): 3.770 3.770 4.079
angles (deg): 90.00 90.00 90.00
Atoms (fractional coordinates):
Li  0.500  0.000  0.000
H  0.000  0.000  0.000
Zn  0.000  0.000  0.500
Pd  0.500  0.500  0.500
Li  0.000  0.500  0.000